# 1
Compound: LiScCuB
Source: OQMD
Functional: PBE
Structure: relaxed

a = 4.0691 Å, b = 4.0691 Å, c = 4.0691 Å
α = 60.00°, β = 60.00°, γ = 60.00°
Fractional positions:
B 0.0000 0.0000 0.0000
Cu 0.7500 0.7500 0.7500
Li 0.2500 0.2500 0.2500
Sc 0.5000 0.5000 0.5000

uncorrected energy: -4.57 eV/atom
symmetry: F-43m
magnetic moment: 0.00 μB/cell


# 2
Compound: InSiAuS3
Source: OQMD
Functional: PBE
Structure: relaxed

a = 7.9260 Å, b = 7.9260 Å, c = 9.4737 Å
α = 90.00°, β = 90.00°, γ = 24.55°
Fractional positions:
Au 0.8072 0.8072 0.2500
Au 0.1928 0.1928 0.7500
In 0.1669 0.1669 0.2500
In 0.8331 0.8331 0.7500
S 0.8992 0.8992 0.0317
S 0.5375 0.5375 0.2500
S 0.8992 0.8992 0.4683
S 0.1008 0.1008 0.5317
S 0.4625 0.4625 0.7500
S 0.1008 0.1008 0.9683
Si 0.5000 0.5000 0.0000
Si 0.5000 0.5000 0.5000

uncorrected energy: -4.26 eV/atom
symmetry: Cmcm


# 3
Compound: UTaAu
Source: OQMD
Functional: PBE
Structure: relaxed

a = 4.6580 Å, b = 4.6580 Å, c = 4.6580 Å
α = 60.00°, β = 60.00°, γ = 60.00°
Fractional positions:
Au 0.2500 0.2500 0.2500
Ta 0.7500 0.7500 0.7500
U 0.0000 0.0000 0.0000

uncorrected energy: -7.76 eV/atom
symmetry: F-43m
ΔE_f: 1.04 eV per atom
magnetic moment: 1.34 μB/cell


# 4
Compound: NaHoO2
Source: OQMD
Functional: PBE
Structure: relaxed

a = 6.0660 Å, b = 6.0660 Å, c = 6.0660 Å
α = 135.77°, β = 135.77°, γ = 64.34°
Fractional positions:
Ho 0.5000 0.5000 0.0000
Ho 0.2500 0.7500 0.5000
Na 0.0000 0.0000 0.0000
Na 0.7500 0.2500 0.5000
O 0.2787 0.2787 0.0000
O 0.7213 0.7213 0.0000
O 0.0287 0.5287 0.5000
O 0.4713 0.9713 0.5000

uncorrected energy: -6.77 eV/atom
symmetry: I4_1/amd
magnetic moment: 0.00 μB/cell


# 5
Compound: Li2HfScIn2Ni2
Source: OQMD
Functional: PBE
Structure: relaxed

a = 4.4862 Å, b = 4.4862 Å, c = 6.3302 Å
α = 90.00°, β = 90.00°, γ = 90.00°
Fractional positions:
Hf 0.5000 0.5000 0.5000
In 0.5000 0.5000 0.0000
In 0.0000 0.0000 0.5000
Li 0.5000 0.0000 0.2475
Li 0.0000 0.5000 0.7525
Ni 0.0000 0.5000 0.2591
Ni 0.5000 0.0000 0.7409
Sc 0.0000 0.0000 0.0000

uncorrected energy: -4.97 eV/atom
symmetry: P-4m2
magnetic moment: 0.00 μB/cell


# 6
Compound: CuH3C4S2N2
Source: OQMD
Functional: PBE
Structure: relaxed

a = 10.9019 Å, b = 14.3709 Å, c = 4.1382 Å
α = 90.00°, β = 90.00°, γ = 90.00°
Fractional positions:
C 0.4700 0.1733 0.2356
C 0.9700 0.3267 0.2356
C 0.3441 0.1792 0.2438
C 0.8441 0.3208 0.2438
C 0.5169 0.6894 0.4359
C 0.0169 0.8106 0.4359
C 0.6496 0.6795 0.4374
C 0.1496 0.8205 0.4374
C 0.0300 0.6733 0.7356
C 0.5300 0.8267 0.7356
C 0.1559 0.6792 0.7438
C 0.6559 0.8208 0.7438
C 0.9831 0.1894 0.9359
C 0.4831 0.3106 0.9359
C 0.8504 0.1795 0.9374
C 0.3504 0.3205 0.9374
Cu 0.5709 0.5138 0.0598
Cu 0.0709 0.9862 0.0598
Cu 0.9291 0.0138 0.5598
Cu 0.4291 0.4862 0.5598
H 0.6905 0.2429 0.1004
H 0.1905 0.2571 0.1004
H 0.5196 0.1166 0.3521
H 0.0196 0.3834 0.3521
H 0.2841 0.1293 0.3629
H 0.7841 0.3707 0.3629
H 0.8095 0.7429 0.6004
H 0.3095 0.7571 0.6004
H 0.9804 0.6166 0.8521
H 0.4804 0.8834 0.8521
H 0.2159 0.6293 0.8629
H 0.7159 0.8707 0.8629
N 0.5372 0.2392 0.0846
N 0.0372 0.2608 0.0846
N 0.7892 0.2477 0.0975
N 0.2892 0.2523 0.0975
N 0.9628 0.7392 0.5846
N 0.4628 0.7608 0.5846
N 0.7108 0.7477 0.5975
N 0.2108 0.7523 0.5975
S 0.4218 0.6098 0.2378
S 0.9218 0.8902 0.2378
S 0.7306 0.5923 0.2593
S 0.2306 0.9077 0.2593
S 0.0782 0.1098 0.7378
S 0.5782 0.3902 0.7378
S 0.7694 0.0923 0.7593
S 0.2694 0.4077 0.7593

uncorrected energy: -6.29 eV/atom
symmetry: Pna2_1


# 7
Compound: GePdSO
Source: OQMD
Functional: PBE
Structure: relaxed

a = 7.2989 Å, b = 6.1732 Å, c = 5.5634 Å
α = 90.00°, β = 90.00°, γ = 90.00°
Fractional positions:
Ge 0.1249 0.0808 0.4838
Ge 0.6249 0.9192 0.4838
Ge 0.3751 0.0808 0.9838
Ge 0.8751 0.9192 0.9838
O 0.1999 0.1903 0.1905
O 0.6999 0.8097 0.1905
O 0.3001 0.1903 0.6905
O 0.8001 0.8097 0.6905
Pd 0.9311 0.3037 0.0123
Pd 0.4311 0.6963 0.0123
Pd 0.5689 0.3037 0.5123
Pd 0.0689 0.6963 0.5123
S 0.5910 0.3447 0.0634
S 0.0910 0.6553 0.0634
S 0.9090 0.3447 0.5634
S 0.4090 0.6553 0.5634

uncorrected energy: -5.31 eV/atom
symmetry: Pca2_1


# 8
Compound: NiIr2W
Source: OQMD
Functional: PBE
Structure: relaxed

a = 4.3225 Å, b = 4.3225 Å, c = 4.3225 Å
α = 60.00°, β = 60.00°, γ = 60.00°
Fractional positions:
Ir 0.0000 0.0000 0.0000
Ir 0.7500 0.7500 0.7500
Ni 0.2500 0.2500 0.2500
W 0.5000 0.5000 0.5000

uncorrected energy: -8.86 eV/atom
symmetry: F-43m
ΔE_f: 0.20 eV per atom
magnetic moment: 0.00 μB/cell


# 9
Compound: DyReB
Source: OQMD
Functional: PBE
Structure: relaxed

a = 4.4081 Å, b = 4.4081 Å, c = 4.4081 Å
α = 60.00°, β = 60.00°, γ = 60.00°
Last column: magnetic moment on the atom in μB.
Fractional positions:
B 0.2500 0.2500 0.2500  -0.07
Dy 0.0000 0.0000 0.0000  0.09
Re 0.7500 0.7500 0.7500  1.17

uncorrected energy: -5.85 eV/atom
symmetry: F-43m
magnetic moment: 1.11 μB/cell


# 10
Compound: TmSiMo
Source: OQMD
Functional: PBE
Structure: relaxed

a = 4.4161 Å, b = 4.4161 Å, c = 4.4161 Å
α = 60.00°, β = 60.00°, γ = 60.00°
Fractional positions:
Mo 0.2500 0.2500 0.2500
Si 0.0000 0.0000 0.0000
Tm 0.7500 0.7500 0.7500

uncorrected energy: -6.92 eV/atom
symmetry: F-43m
magnetic moment: 0.17 μB/cell


# 11
Compound: TlReSn
Source: OQMD
Functional: PBE
Structure: relaxed

a = 4.6165 Å, b = 4.6165 Å, c = 4.6165 Å
α = 60.00°, β = 60.00°, γ = 60.00°
Fractional positions:
Re 0.0000 0.0000 0.0000
Sn 0.2500 0.2500 0.2500
Tl 0.7500 0.7500 0.7500

uncorrected energy: -5.39 eV/atom
symmetry: F-43m
magnetic moment: 0.01 μB/cell


# 12
Compound: TcAsPdO
Source: OQMD
Functional: PBE
Structure: relaxed

a = 3.7415 Å, b = 3.7415 Å, c = 7.5769 Å
α = 90.00°, β = 90.00°, γ = 90.00°
Fractional positions:
As 0.7500 0.7500 0.2701
As 0.2500 0.2500 0.7299
O 0.7500 0.2500 0.0000
O 0.2500 0.7500 0.0000
Pd 0.7500 0.2500 0.5000
Pd 0.2500 0.7500 0.5000
Tc 0.2500 0.2500 0.1617
Tc 0.7500 0.7500 0.8383

uncorrected energy: -6.43 eV/atom
symmetry: P4/nmm
magnetic moment: 1.03 μB/cell


# 13
Compound: Gd2Tm2I5N
Source: OQMD
Functional: PBE
Structure: relaxed

a = 10.5874 Å, b = 10.5874 Å, c = 8.5273 Å
α = 101.42°, β = 101.42°, γ = 21.27°
Fractional positions:
Gd 0.9998 0.9998 0.1916
Gd 0.0002 0.0002 0.8084
I 0.8471 0.8471 0.1751
I 0.1520 0.1520 0.3257
I 0.5000 0.5000 0.5000
I 0.8480 0.8480 0.6743
I 0.1529 0.1529 0.8249
N 0.5000 0.5000 0.0000
Tm 0.6110 0.6110 0.0549
Tm 0.3890 0.3890 0.9451

uncorrected energy: -4.69 eV/atom
symmetry: C2/m
magnetic moment: 0.00 μB/cell


# 14
Compound: Rb4Ba3Pt
Source: OQMD
Functional: PBE
Structure: relaxed

a = 7.7832 Å, b = 7.7832 Å, c = 7.7832 Å
α = 90.00°, β = 90.00°, γ = 90.00°
Fractional positions:
Ba 0.5000 0.5000 0.0000
Ba 0.5000 0.0000 0.5000
Ba 0.0000 0.5000 0.5000
Pt 0.0000 0.0000 0.0000
Rb 0.5000 0.0000 0.0000
Rb 0.0000 0.5000 0.0000
Rb 0.0000 0.0000 0.5000
Rb 0.5000 0.5000 0.5000

uncorrected energy: -1.31 eV/atom
symmetry: Pm-3m
magnetic moment: 0.41 μB/cell


# 15
Compound: TmCd
Source: OQMD
Functional: PBE
Structure: relaxed

a = 3.6770 Å, b = 3.6770 Å, c = 3.6770 Å
α = 90.00°, β = 90.00°, γ = 90.00°
Fractional positions:
Cd 0.0000 0.0000 0.0000
Tm 0.5000 0.5000 0.5000

uncorrected energy: -3.00 eV/atom
symmetry: Pm-3m
ΔE_f: -0.32 eV per atom
magnetic moment: 0.00 μB/cell


# 16
Compound: ErAgPbSe3
Source: OQMD
Functional: PBE
Structure: relaxed

a = 7.2110 Å, b = 7.2110 Å, c = 10.5936 Å
α = 90.00°, β = 90.00°, γ = 33.00°
Fractional positions:
Ag 0.4665 0.4665 0.2500
Ag 0.5335 0.5335 0.7500
Er 0.0000 0.0000 0.0000
Er 0.0000 0.0000 0.5000
Pb 0.7593 0.7593 0.2500
Pb 0.2407 0.2407 0.7500
Se 0.3574 0.3574 0.0488
Se 0.0900 0.0900 0.2500
Se 0.3574 0.3574 0.4512
Se 0.6426 0.6426 0.5488
Se 0.9100 0.9100 0.7500
Se 0.6426 0.6426 0.9512

uncorrected energy: -4.55 eV/atom
symmetry: Cmcm
magnetic moment: 0.01 μB/cell


# 17
Compound: TmSnPt
Source: OQMD
Functional: PBE
Structure: relaxed

a = 8.1524 Å, b = 8.1524 Å, c = 3.3513 Å
α = 90.00°, β = 90.00°, γ = 120.00°
Fractional positions:
Pt 0.6459 0.0000 0.5000
Pt 0.3541 0.3541 0.5000
Pt 0.0000 0.6459 0.5000
Sn 0.6667 0.3333 0.0000
Sn 0.3333 0.6667 0.0000
Sn 0.0000 0.0000 0.5000
Tm 0.2953 0.0000 0.0000
Tm 0.0000 0.2953 0.0000
Tm 0.7047 0.7047 0.0000

uncorrected energy: -5.40 eV/atom
symmetry: P-62m
magnetic moment: 0.01 μB/cell


# 18
Compound: K2ThTe3
Source: OQMD
Functional: PBE
Structure: relaxed

a = 10.8787 Å, b = 10.8787 Å, c = 13.0392 Å
α = 90.00°, β = 90.00°, γ = 155.27°
Fractional positions:
K 0.6197 0.3803 0.2500
K 0.3806 0.6194 0.2500
K 0.6194 0.3806 0.7500
K 0.3803 0.6197 0.7500
Te 0.6002 0.3998 0.0000
Te 0.3998 0.6002 0.0000
Te 0.0002 0.9998 0.2500
Te 0.6002 0.3998 0.5000
Te 0.3998 0.6002 0.5000
Te 0.9998 0.0002 0.7500
Th 0.0000 0.0000 0.0000
Th 0.0000 0.0000 0.5000

uncorrected energy: -4.26 eV/atom
symmetry: Cmmm
magnetic moment: 0.02 μB/cell


# 19
Compound: CsTaAgTeSe2
Source: OQMD
Functional: PBE
Structure: relaxed

a = 8.7723 Å, b = 8.7723 Å, c = 10.7312 Å
α = 90.00°, β = 90.00°, γ = 154.50°
Last column: magnetic moment on the atom in μB.
Fractional positions:
Ag 0.5409 0.4591 0.2500  0.01
Ag 0.4591 0.5409 0.7500  0.01
Cs 0.2329 0.7671 0.2500  0.00
Cs 0.7671 0.2329 0.7500  0.00
Se 0.6054 0.3946 0.0342  -0.01
Se 0.6054 0.3946 0.4658  -0.01
Se 0.3946 0.6054 0.5342  -0.01
Se 0.3946 0.6054 0.9658  -0.01
Ta 0.0000 0.0000 0.0000  0.36
Ta 0.0000 0.0000 0.5000  0.36
Te 0.9259 0.0741 0.2500  -0.01
Te 0.0741 0.9259 0.7500  -0.01

uncorrected energy: -4.81 eV/atom
symmetry: Cmcm
magnetic moment: 1.01 μB/cell


# 20
Compound: TaAlCuAu
Source: OQMD
Functional: PBE
Structure: relaxed

a = 4.4852 Å, b = 4.4852 Å, c = 4.4852 Å
α = 60.00°, β = 60.00°, γ = 60.00°
Fractional positions:
Al 0.0000 0.0000 0.0000
Au 0.2500 0.2500 0.2500
Cu 0.7500 0.7500 0.7500
Ta 0.5000 0.5000 0.5000

uncorrected energy: -5.61 eV/atom
symmetry: F-43m
magnetic moment: 0.00 μB/cell